The following is a DFT calculation (PBE) of an optimized crystal structure of OsC8.

```
data_OsC8
_symmetry_space_group_name_H-M 'P 6/m m m'
_symmetry_Int_Tables_number 191
_symmetry_space_group_name_Hall '-P 6 2'
_cell_length_a 4.9301
_cell_length_b 4.9301
_cell_length_c 5.9182
_cell_angle_alpha 90.00
_cell_angle_beta 90.00
_cell_angle_gamma 120.00
loop_
_atom_site_label
_atom_site_fract_x
_atom_site_fract_y
_atom_site_fract_z
Os1 0.0000 0.0000 0.0000
C1 0.1670 0.3340 0.5000
C2 0.3333 0.6667 0.5000
```

Summary:
- energy above the lowest structure with this stoichiometry (meV per atom) = 350
- calculated density (Mg/m³) = 3.8
- total magnetization (μB/atom) = 0.444

The following is a DFT calculation (PBE) of an optimized crystal structure of OsC.

```
data_OsC
_symmetry_space_group_name_H-M 'F m -3 m'
_symmetry_Int_Tables_number 225
_symmetry_space_group_name_Hall '-F 4 2 3'
_cell_length_a 4.3591
_cell_length_b 4.3591
_cell_length_c 4.3591
_cell_angle_alpha 90.00
_cell_angle_beta 90.00
_cell_angle_gamma 90.00
loop_
_atom_site_label
_atom_site_fract_x
_atom_site_fract_y
_atom_site_fract_z
Os1 0.0000 0.0000 0.0000
C1 0.0000 0.0000 0.5000
```

Summary:
- energy above the lowest structure with this stoichiometry (meV per atom) = 1080
- calculated density (Mg/m³) = 16.2
- total magnetization (μB/atom) = 0.006

The following is a DFT calculation (PBE) of an optimized crystal structure of OsC.

```
data_OsC
_symmetry_space_group_name_H-M 'C 1 2/m 1'
_symmetry_Int_Tables_number 12
_symmetry_space_group_name_Hall '-C 2y'
_cell_length_a 4.6695
_cell_length_b 2.6957
_cell_length_c 26.0903
_cell_angle_alpha 90.00
_cell_angle_beta 93.40
_cell_angle_gamma 90.00
loop_
_atom_site_label
_atom_site_fract_x
_atom_site_fract_y
_atom_site_fract_z
Os1 0.0713 0.0000 0.2124
Os2 0.1231 0.5000 0.8729
Os3 0.1809 0.5000 0.0420
Os4 0.2307 0.0000 0.6960
C1 0.0282 0.5000 0.5886
C2 0.0475 0.5000 0.6455
C3 0.1450 0.0000 0.4313
C4 0.1636 0.0000 0.4902
```

Summary:
- energy above the lowest structure with this stoichiometry (meV per atom) = 0
- calculated density (Mg/m³) = 16.4
- total magnetization (μB/atom) = 0.001

The following is a DFT calculation (PBE) of an optimized crystal structure of Os2C3.

```
data_Os2C3
_symmetry_space_group_name_H-M 'P 63/m m c'
_symmetry_Int_Tables_number 194
_symmetry_space_group_name_Hall '-P 6c 2c'
_cell_length_a 2.6893
_cell_length_b 2.6893
_cell_length_c 15.3146
_cell_angle_alpha 90.00
_cell_angle_beta 90.00
_cell_angle_gamma 120.00
loop_
_atom_site_label
_atom_site_fract_x
_atom_site_fract_y
_atom_site_fract_z
Os1 0.3333 0.6667 0.1557
C1 0.3333 0.6667 0.0137
C2 0.3333 0.6667 0.7500
```

Summary:
- energy above the lowest structure with this stoichiometry (meV per atom) = 0
- calculated density (Mg/m³) = 14.4
- total magnetization (μB/atom) = 0.000

The following is a DFT calculation (PBE) of an optimized crystal structure of Os2C3.

```
data_Os2C3
_symmetry_space_group_name_H-M 'P -4 c 2'
_symmetry_Int_Tables_number 116
_symmetry_space_group_name_Hall 'P -4 -2c'
_cell_length_a 5.0117
_cell_length_b 5.0117
_cell_length_c 7.9255
_cell_angle_alpha 90.00
_cell_angle_beta 90.00
_cell_angle_gamma 90.00
loop_
_atom_site_label
_atom_site_fract_x
_atom_site_fract_y
_atom_site_fract_z
Os1 0.0000 0.0000 0.0000
Os2 0.0000 0.5000 0.1046
Os3 0.5000 0.5000 0.2500
C1 0.1689 0.1689 0.2500
C2 0.2307 0.3393 0.9194
```

Summary:
- energy above the lowest structure with this stoichiometry (meV per atom) = 463
- calculated density (Mg/m³) = 13.9
- total magnetization (μB/atom) = 0.000

The following is a DFT calculation (PBE) of an optimized crystal structure of OsC4.

```
data_OsC4
_symmetry_space_group_name_H-M 'C 1 2/m 1'
_symmetry_Int_Tables_number 12
_symmetry_space_group_name_Hall '-C 2y'
_cell_length_a 4.5770
_cell_length_b 2.6407
_cell_length_c 12.9481
_cell_angle_alpha 90.00
_cell_angle_beta 96.60
_cell_angle_gamma 90.00
loop_
_atom_site_label
_atom_site_fract_x
_atom_site_fract_y
_atom_site_fract_z
Os1 0.2050 0.0000 0.0978
C1 0.0705 0.5000 0.2007
C2 0.1076 0.5000 0.3172
C3 0.1733 0.5000 0.5204
C4 0.2125 0.5000 0.6418
```

Summary:
- calculated density (Mg/m³) = 10.2
- energy (eV/cell) = -183.7
- total magnetization (μB/atom) = 0.001

The following is a DFT calculation (PBE) of an optimized crystal structure of Os5C.

```
data_Os5C
_symmetry_space_group_name_H-M 'P 6/m m m'
_symmetry_Int_Tables_number 191
_symmetry_space_group_name_Hall '-P 6 2'
_cell_length_a 4.9399
_cell_length_b 4.9399
_cell_length_c 4.6189
_cell_angle_alpha 90.00
_cell_angle_beta 90.00
_cell_angle_gamma 120.00
loop_
_atom_site_label
_atom_site_fract_x
_atom_site_fract_y
_atom_site_fract_z
Os1 0.0000 0.5000 0.0000
Os2 0.3333 0.6667 0.5000
C1 0.0000 0.0000 0.5000
```

Summary:
- calculated density (Mg/m³) = 16.4
- energy (eV/cell) = -53.6
- total magnetization (μB/atom) = 0.000

The following is a DFT calculation (PBE) of an optimized crystal structure of Os4C3.

```
data_Os4C3
_symmetry_space_group_name_H-M 'R 3 m'
_symmetry_Int_Tables_number 160
_symmetry_space_group_name_Hall 'R 3 -2"'
_cell_length_a 3.3321
_cell_length_b 3.3321
_cell_length_c 25.0065
_cell_angle_alpha 90.00
_cell_angle_beta 90.00
_cell_angle_gamma 120.00
loop_
_atom_site_label
_atom_site_fract_x
_atom_site_fract_y
_atom_site_fract_z
Os1 0.0000 0.0000 0.0000
Os2 0.0000 0.0000 0.1719
Os3 0.0000 0.0000 0.4172
Os4 0.0000 0.0000 0.5895
C1 0.0000 0.0000 0.2940
C2 0.0000 0.0000 0.7333
C3 0.0000 0.0000 0.8551
```

Summary:
- calculated density (Mg/m³) = 16.5
- energy (eV/cell) = -197.9
- total magnetization (μB/atom) = 0.003

The following is a DFT calculation (PBE) of an optimized crystal structure of OsC.

```
data_OsC
_symmetry_space_group_name_H-M 'F -4 3 m'
_symmetry_Int_Tables_number 216
_symmetry_space_group_name_Hall 'F -4 2 3'
_cell_length_a 4.6081
_cell_length_b 4.6081
_cell_length_c 4.6081
_cell_angle_alpha 90.00
_cell_angle_beta 90.00
_cell_angle_gamma 90.00
loop_
_atom_site_label
_atom_site_fract_x
_atom_site_fract_y
_atom_site_fract_z
Os1 0.0000 0.0000 0.0000
C1 0.2500 0.2500 0.2500
```

Summary:
- energy above the lowest structure with this stoichiometry (meV per atom) = 404
- calculated density (Mg/m³) = 13.7
- total magnetization (μB/atom) = 0.000

The following is a DFT calculation (PBE) of an optimized crystal structure of Os2C3.

```
data_Os2C3
_symmetry_space_group_name_H-M 'P b c n'
_symmetry_Int_Tables_number 60
_symmetry_space_group_name_Hall '-P 2n 2ab'
_cell_length_a 10.0681
_cell_length_b 7.6220
_cell_length_c 5.1186
_cell_angle_alpha 90.00
_cell_angle_beta 90.00
_cell_angle_gamma 90.00
loop_
_atom_site_label
_atom_site_fract_x
_atom_site_fract_y
_atom_site_fract_z
Os1 0.0000 0.0174 0.2500
Os2 0.0000 0.4247 0.7500
Os3 0.2337 0.1861 0.2488
C1 0.0753 0.2012 0.5398
C2 0.1180 0.3809 0.0850
C3 0.1883 0.0713 0.8873
```

Summary:
- energy above the lowest structure with this stoichiometry (meV per atom) = 411
- calculated density (Mg/m³) = 14.1
- total magnetization (μB/atom) = 0.001

The following is a DFT calculation (PBE) of an optimized crystal structure of OsC.

```
data_OsC
_symmetry_space_group_name_H-M 'P m -3 m'
_symmetry_Int_Tables_number 221
_symmetry_space_group_name_Hall '-P 4 2 3'
_cell_length_a 2.6946
_cell_length_b 2.6946
_cell_length_c 2.6946
_cell_angle_alpha 90.00
_cell_angle_beta 90.00
_cell_angle_gamma 90.00
loop_
_atom_site_label
_atom_site_fract_x
_atom_site_fract_y
_atom_site_fract_z
Os1 0.0000 0.0000 0.0000
C1 0.5000 0.5000 0.5000
```

Summary:
- energy above the lowest structure with this stoichiometry (meV per atom) = 1173
- calculated density (Mg/m³) = 17.2
- total magnetization (μB/atom) = 0.001

The following is a DFT calculation (PBE) of an optimized crystal structure of OsC8.

```
data_OsC8
_symmetry_space_group_name_H-M 'F d d d'
_symmetry_Int_Tables_number 70
_cell_length_a 4.9940
_cell_length_b 8.6999
_cell_length_c 14.9110
_cell_angle_alpha 90.00
_cell_angle_beta 90.00
_cell_angle_gamma 90.00
loop_
_symmetry_equiv_pos_as_xyz
'x,y,z'
'-x,-y,-z'
'-x+1/4,-y+1/4,z'
'x+1/4,y+1/4,-z'
'x,-y+1/4,-z+1/4'
'-x,y+1/4,z+1/4'
'-x+1/4,y,-z+1/4'
'x+1/4,-y,z+1/4'
'x,y+1/2,z+1/2'
'-x,-y+1/2,-z+1/2'
'-x+1/4,-y+3/4,z+1/2'
'x+1/4,y+3/4,-z+1/2'
'x,-y+3/4,-z+3/4'
'-x,y+3/4,z+3/4'
'-x+1/4,y+1/2,-z+3/4'
'x+1/4,-y+1/2,z+3/4'
'x+1/2,y,z+1/2'
'-x+1/2,-y,-z+1/2'
'-x+3/4,-y+1/4,z+1/2'
'x+3/4,y+1/4,-z+1/2'
'x+1/2,-y+1/4,-z+3/4'
'-x+1/2,y+1/4,z+3/4'
'-x+3/4,y,-z+3/4'
'x+3/4,-y,z+3/4'
'x+1/2,y+1/2,z'
'-x+1/2,-y+1/2,-z'
'-x+3/4,-y+3/4,z'
'x+3/4,y+3/4,-z'
'x+1/2,-y+3/4,-z+1/4'
'-x+1/2,y+3/4,z+1/4'
'-x+3/4,y+1/2,-z+1/4'
'x+3/4,-y+1/2,z+1/4'
loop_
_atom_site_label
_atom_site_fract_x
_atom_site_fract_y
_atom_site_fract_z
Os1 0.1250 0.1250 0.1250
C1 0.1244 0.2922 0.9998
C2 0.1243 0.2919 0.4960
```

Summary:
- energy above the lowest structure with this stoichiometry (meV per atom) = 0
- calculated density (Mg/m³) = 5.9
- total magnetization (μB/atom) = 0.000

The following is a DFT calculation (PBE) of an optimized crystal structure of PaOs3C.

```
data_PaOs3C
_symmetry_space_group_name_H-M 'P m -3 m'
_symmetry_Int_Tables_number 221
_symmetry_space_group_name_Hall '-P 4 2 3'
_cell_length_a 4.2140
_cell_length_b 4.2140
_cell_length_c 4.2140
_cell_angle_alpha 90.00
_cell_angle_beta 90.00
_cell_angle_gamma 90.00
loop_
_atom_site_label
_atom_site_fract_x
_atom_site_fract_y
_atom_site_fract_z
Pa1 0.0000 0.0000 0.0000
Os1 0.0000 0.5000 0.5000
C1 0.5000 0.5000 0.5000
```

Summary:
- calculated density (Mg/m³) = 18.1
- energy (eV/cell) = -52.4
- total magnetization (μB/atom) = 0.000

The following is a DFT calculation (PBE) of an optimized crystal structure of Pr2ReOs2C5.

```
data_Pr2ReOs2C5
_symmetry_space_group_name_H-M 'C 1 2 1'
_symmetry_Int_Tables_number 5
_symmetry_space_group_name_Hall 'C 2y'
_cell_length_a 10.4639
_cell_length_b 3.9732
_cell_length_c 7.8508
_cell_angle_alpha 90.00
_cell_angle_beta 123.31
_cell_angle_gamma 90.00
loop_
_atom_site_label
_atom_site_fract_x
_atom_site_fract_y
_atom_site_fract_z
Pr1 0.1573 0.0000 0.2678
Re1 0.0000 0.0816 0.5000
Os1 0.1362 0.4890 0.9124
C1 0.0000 0.4931 0.0000
C2 0.0415 0.5589 0.4408
C3 0.1427 0.9846 0.8149
```

Summary:
- calculated density (Mg/m³) = 11.1
- energy (eV/cell) = -174.7
- total magnetization (μB/atom) = 0.000

The following is a DFT calculation (PBE) of an optimized crystal structure of PrSmOs4C4.

```
data_PrSmOs4C4
_symmetry_space_group_name_H-M 'F 2 2 2'
_symmetry_Int_Tables_number 22
_symmetry_space_group_name_Hall 'F 2 2'
_cell_length_a 6.3285
_cell_length_b 9.2868
_cell_length_c 9.7251
_cell_angle_alpha 90.00
_cell_angle_beta 90.00
_cell_angle_gamma 90.00
loop_
_atom_site_label
_atom_site_fract_x
_atom_site_fract_y
_atom_site_fract_z
Pr1 0.0000 0.0000 0.0000
Sm1 0.2500 0.2500 0.2500
Os1 0.0000 0.0000 0.3622
Os2 0.2500 0.2500 0.6132
C1 0.0000 0.1820 0.5000
C2 0.2500 0.0665 0.7500
```

Summary:
- calculated density (Mg/m³) = 12.8
- energy (eV/cell) = -362.8
- total magnetization (μB/atom) = 0.001

The following is a DFT calculation (PBE) of an optimized crystal structure of Os2CSeS.

```
data_Os2CSeS
_symmetry_space_group_name_H-M 'P 3 m 1'
_symmetry_Int_Tables_number 156
_symmetry_space_group_name_Hall 'P 3 -2"'
_cell_length_a 3.4235
_cell_length_b 3.4235
_cell_length_c 8.5303
_cell_angle_alpha 90.00
_cell_angle_beta 90.00
_cell_angle_gamma 120.00
loop_
_atom_site_label
_atom_site_fract_x
_atom_site_fract_y
_atom_site_fract_z
Os1 0.0000 0.0000 0.0000
Os2 0.3333 0.6667 0.2303
C1 0.6667 0.3333 0.0616
Se1 0.3333 0.6667 0.7969
S1 0.0000 0.0000 0.3763
```

Summary:
- calculated density (Mg/m³) = 9.7
- energy (eV/cell) = -37.5
- total magnetization (μB/atom) = 0.000

The following is a DFT calculation (PBE) of an optimized crystal structure of TeOs2CS.

```
data_TeOs2CS
_symmetry_space_group_name_H-M 'P 3 m 1'
_symmetry_Int_Tables_number 156
_symmetry_space_group_name_Hall 'P 3 -2"'
_cell_length_a 3.4432
_cell_length_b 3.4432
_cell_length_c 8.8166
_cell_angle_alpha 90.00
_cell_angle_beta 90.00
_cell_angle_gamma 120.00
loop_
_atom_site_label
_atom_site_fract_x
_atom_site_fract_y
_atom_site_fract_z
Te1 0.0000 0.0000 0.0000
Os1 0.0000 0.0000 0.5507
Os2 0.3333 0.6667 0.7737
C1 0.6667 0.3333 0.7143
S1 0.3333 0.6667 0.4124
```

Summary:
- calculated density (Mg/m³) = 10.1
- energy (eV/cell) = -36.9
- total magnetization (μB/atom) = 0.002

The following is a DFT calculation (PBE) of an optimized crystal structure of Sc2ZnOsC.

```
data_Sc2ZnOsC
_symmetry_space_group_name_H-M 'P 4/m m m'
_symmetry_Int_Tables_number 123
_symmetry_space_group_name_Hall '-P 4 2'
_cell_length_a 4.5567
_cell_length_b 4.5567
_cell_length_c 3.8822
_cell_angle_alpha 90.00
_cell_angle_beta 90.00
_cell_angle_gamma 90.00
loop_
_atom_site_label
_atom_site_fract_x
_atom_site_fract_y
_atom_site_fract_z
Sc1 0.0000 0.5000 0.0000
Zn1 0.0000 0.0000 0.5000
Os1 0.5000 0.5000 0.5000
C1 0.5000 0.5000 0.0000
```

Summary:
- calculated density (Mg/m³) = 7.4
- energy (eV/cell) = -36.7
- total magnetization (μB/atom) = 0.001

The following is a DFT calculation (PBE) of an optimized crystal structure of TeOs2CSe.

```
data_TeOs2CSe
_symmetry_space_group_name_H-M 'P 3 m 1'
_symmetry_Int_Tables_number 156
_symmetry_space_group_name_Hall 'P 3 -2"'
_cell_length_a 3.4946
_cell_length_b 3.4946
_cell_length_c 8.8799
_cell_angle_alpha 90.00
_cell_angle_beta 90.00
_cell_angle_gamma 120.00
loop_
_atom_site_label
_atom_site_fract_x
_atom_site_fract_y
_atom_site_fract_z
Te1 0.0000 0.0000 0.0000
Os1 0.0000 0.0000 0.5704
Os2 0.3333 0.6667 0.7810
C1 0.6667 0.3333 0.7172
Se1 0.3333 0.6667 0.4090
```

Summary:
- calculated density (Mg/m³) = 10.6
- energy (eV/cell) = -36.0
- total magnetization (μB/atom) = 0.019

The following is a DFT calculation (PBE) of an optimized crystal structure of Y2Si2OsWC.

```
data_Y2Si2OsWC
_symmetry_space_group_name_H-M 'C 1 m 1'
_symmetry_Int_Tables_number 8
_symmetry_space_group_name_Hall 'C -2y'
_cell_length_a 11.0679
_cell_length_b 3.9406
_cell_length_c 7.0167
_cell_angle_alpha 90.00
_cell_angle_beta 127.41
_cell_angle_gamma 90.00
loop_
_atom_site_label
_atom_site_fract_x
_atom_site_fract_y
_atom_site_fract_z
Y1 0.0000 0.0000 0.0000
Y2 0.1437 0.0000 0.5990
Si1 0.2183 0.5000 0.9802
Si2 0.4390 0.0000 0.6227
Os1 0.3635 0.0000 0.2047
W1 0.2746 0.5000 0.3863
C1 0.0687 0.5000 0.2955
```

Summary:
- calculated density (Mg/m³) = 8.5
- energy (eV/cell) = -122.8
- total magnetization (μB/atom) = 0.001